This record from Alexandria describes a relaxed SmNb6Se8 crystal. The functional is PBE.

```
data_SmNb6Se8
_chemical_formula_sum 'Sm3 Nb18 Se24'
_space_group_name_H-M_alt 'R -3'
_space_group_IT_number 148
_space_group_name_Hall '-R 3'
_cell_length_a 9.4988
_cell_length_b 9.4988
_cell_length_c 12.5242
_cell_angle_alpha 90.00
_cell_angle_beta 90.00
_cell_angle_gamma 120.00
loop_
_atom_site_label
_atom_site_fract_x
_atom_site_fract_y
_atom_site_fract_z
_atom_site_occupancy
Sm1 0.0000 0.0000 0.0000 1
Nb1 0.0228 0.1828 0.3918 1
Se1 0.0000 0.0000 0.2317 1
Se2 0.0075 0.6340 0.7603 1
```

Summary:
**Crystal system**: trigonal
**Formation energy (no corrections)**: -0.863 eV per atom